[1]
Below is crystalline Li3Pd3Au2 at its relaxed geometry, with properties calculated at the PBE-GGA level.

Cell: 4.950 4.950 4.950 Å, 89.31 89.31 90.69°
Element x y z (fractional)
1 Li 0.264 0.736 0.000
2 Li 0.000 0.264 0.264
3 Li 0.736 0.000 0.736
4 Pd 0.257 0.743 0.500
5 Pd 0.500 0.257 0.257
6 Pd 0.743 0.500 0.743
7 Au 0.236 0.236 0.764
8 Au 0.764 0.764 0.236

Output
energy of formation = -0.41 eV per atom
DOS(E_F) = 0.0803 states/eV per atom
E = -3.89 eV/atom
space group = R32, No. 155

---

[2]
Below is crystalline CeHo4Pd15 at its relaxed geometry, with properties calculated at the PBE-GGA level.

Cell: 4.118 4.118 20.597 Å, 90.00 90.00 90.00°
Element x y z (fractional)
1 Ce 0.000 0.000 0.000
2 Ho 0.000 0.000 0.202
3 Ho 0.000 0.000 0.400
4 Ho 0.000 0.000 0.600
5 Ho 0.000 0.000 0.798
6 Pd 0.500 0.500 0.000
7 Pd 0.500 0.500 0.200
8 Pd 0.500 0.500 0.400
9 Pd 0.500 0.500 0.600
10 Pd 0.500 0.500 0.800
11 Pd 0.500 0.000 0.099
12 Pd 0.500 0.000 0.300
13 Pd 0.500 0.000 0.500
14 Pd 0.500 0.000 0.700
15 Pd 0.500 0.000 0.901
16 Pd 0.000 0.500 0.099
17 Pd 0.000 0.500 0.300
18 Pd 0.000 0.500 0.500
19 Pd 0.000 0.500 0.700
20 Pd 0.000 0.500 0.901

Output
energy of formation = -0.89 eV per atom
DOS(E_F) = 0.4973 states/eV per atom
E = -6.00 eV/atom
space group = P4/mmm, No. 123

---

[3]
Below is crystalline SmCu8Ni4 at its relaxed geometry, with properties calculated at the PBE-GGA level.

Cell: 4.849 6.392 6.392 Å, 81.73 67.71 67.71°
Element x y z (fractional)
1 Sm 0.000 0.000 0.000
2 Cu 0.000 0.352 0.648
3 Cu 0.000 0.648 0.352
4 Cu 0.352 0.648 0.648
5 Cu 0.648 0.352 0.352
6 Cu 0.500 0.775 0.225
7 Cu 0.500 0.225 0.775
8 Cu 0.275 0.225 0.225
9 Cu 0.725 0.775 0.775
10 Ni 0.000 0.000 0.500
11 Ni 0.500 0.000 0.500
12 Ni 0.000 0.500 0.000
13 Ni 0.500 0.500 0.000

Output
energy of formation = -0.11 eV per atom
DOS(E_F) = 0.6035 states/eV per atom
E = -4.77 eV/atom
space group = I4/mmm, No. 139

---

[4]
Below is crystalline TbEuAu at its relaxed geometry, with properties calculated at the PBE-GGA level.

Cell: 5.092 5.092 5.092 Å, 60.00 60.00 60.00°
Each line ends with the local moment (μB).
Element x y z (fractional)
1 Eu 0.000 0.000 0.000  6.83
2 Tb 0.500 0.500 0.500  0.10
3 Au 0.250 0.250 0.250  0.01

Output
energy of formation = -0.41 eV per atom
DOS(E_F) = 1.1808 states/eV per atom
E = -6.47 eV/atom
space group = F-43m, No. 216

---

[5]
Below is crystalline LaTlB2 at its relaxed geometry, with properties calculated at the PBE-GGA level.

Cell: 4.723 4.723 8.156 Å, 73.17 73.17 90.00°
Element x y z (fractional)
1 Tl 0.000 0.000 0.000
2 Tl 0.750 0.250 0.500
3 B 0.738 0.125 0.250
4 B 0.012 0.625 0.250
5 B 0.375 0.262 0.750
6 B 0.875 0.988 0.750
7 La 0.500 0.500 0.000
8 La 0.250 0.750 0.500

Output
energy of formation = 0.85 eV per atom
DOS(E_F) = 0.1837 states/eV per atom
E = -4.31 eV/atom
space group = I-42d, No. 122

---

[6]
Below is crystalline Ag2Sb2Ir at its relaxed geometry, with properties calculated at the PBE-GGA level.

Cell: 6.763 6.763 4.841 Å, 90.00 90.00 90.00°
Element x y z (fractional)
1 Sb 0.353 0.853 0.000
2 Sb 0.853 0.647 0.000
3 Sb 0.647 0.147 0.000
4 Sb 0.147 0.353 0.000
5 Ir 0.000 0.000 0.000
6 Ir 0.500 0.500 0.000
7 Ag 0.193 0.693 0.500
8 Ag 0.693 0.807 0.500
9 Ag 0.807 0.307 0.500
10 Ag 0.307 0.193 0.500

Output
formation energy from raw total energies = 0.20 eV/atom
DOS(E_F) = 0.3030 states/eV per atom
E = -4.36 eV/atom
space group = P4/mbm, No. 127

---

[7]
Below is crystalline ZrMnW2 at its relaxed geometry, with properties calculated at the PBE-GGA level.

Cell: 9.004 9.004 9.004 Å, 18.84 18.84 18.84°
Each line ends with the local moment (μB).
Element x y z (fractional)
1 Mn 0.743 0.743 0.743  0.97
2 W 0.007 0.007 0.007  -0.14
3 W 0.255 0.255 0.255  -0.06
4 Zr 0.494 0.494 0.494  -0.09

Output
energy of formation = 0.42 eV per atom
DOS(E_F) = 0.6091 states/eV per atom
E = -10.49 eV/atom
space group = R3m, No. 160

---

[8]
Below is crystalline CaSmAsPd at its relaxed geometry, with properties calculated at the PBE-GGA level.

Cell: 5.071 5.071 5.071 Å, 60.00 60.00 60.00°
Element x y z (fractional)
1 As 0.000 0.000 0.000
2 Ca 0.750 0.750 0.750
3 Pd 0.500 0.500 0.500
4 Sm 0.250 0.250 0.250

Output
energy of formation = -0.92 eV per atom
DOS(E_F) = 0.3468 states/eV per atom
E = -5.06 eV/atom
space group = F-43m, No. 216